Entry from Alexandria: an optimized crystal structure of PaCoO6 (PBE+U).

Output
Energy (eV/atom): -6.888
Calculated volume (A^3/atom): 13.628
SG: C2/m, No. 12

Cell lengths 5.161, 5.161, 4.970 Å; angles 97.01, 97.01, 121.71 degrees
Fractional positions:
Pa1 0.000 0.000 0.000
Co1 0.500 0.500 0.500
O1 0.138 0.410 0.265
O2 0.270 0.270 0.720
O3 0.410 0.138 0.265
O4 0.590 0.862 0.735
O5 0.730 0.730 0.280
O6 0.862 0.590 0.735